# RbTbFe2Cl8 | Alexandria | PBE | optimized geometry
# - ΔE_f (raw): -1.41 eV per atom
# - Calculated volume: 388.9 Å³/cell
# - Energy: -0.332 Ry/atom
# - M_tot: 8.000 μB per cell
data_RbTbFe2Cl8
_chemical_formula_sum 'Rb1 Tb1 Fe2 Cl8'
_cell_length_a 6.519
_cell_length_b 6.519
_cell_length_c 9.814
_cell_angle_alpha 93.90
_cell_angle_beta 93.90
_cell_angle_gamma 69.31
_symmetry_space_group_name_H-M 'P 1'
_symmetry_Int_Tables_number 1
loop_
_symmetry_equiv_pos_as_xyz
'x,y,z'
loop_
_atom_site_label
_atom_site_fract_x
_atom_site_fract_y
_atom_site_fract_z
_atom_site_occupancy
Rb1 0.000 0.000 0.000 1
Tb1 0.000 0.000 0.500 1
Fe1 0.376 0.376 0.714 1
Fe2 0.624 0.624 0.286 1
Cl1 0.240 0.745 0.300 1
Cl2 0.249 0.249 0.513 1
Cl3 0.255 0.760 0.700 1
Cl4 0.303 0.303 0.919 1
Cl5 0.697 0.697 0.081 1
Cl6 0.745 0.240 0.300 1
Cl7 0.751 0.751 0.487 1
Cl8 0.760 0.255 0.700 1

---

# RbTbFeCl6 | Alexandria | PBE | optimized geometry
# - ΔE_f (raw): -1.70 eV per atom
# - Calculated volume: 289.7 Å³/cell
# - Energy: -0.330 Ry/atom
# - M_tot: 4.000 μB per cell
data_RbTbFeCl6
_chemical_formula_sum 'Rb1 Tb1 Fe1 Cl6'
_cell_length_a 6.745
_cell_length_b 6.745
_cell_length_c 7.351
_cell_angle_alpha 90.06
_cell_angle_beta 90.06
_cell_angle_gamma 119.99
_symmetry_space_group_name_H-M 'P 1'
_symmetry_Int_Tables_number 1
loop_
_symmetry_equiv_pos_as_xyz
'x,y,z'
loop_
_atom_site_label
_atom_site_fract_x
_atom_site_fract_y
_atom_site_fract_z
_atom_site_occupancy
Rb1 0.000 0.000 0.000 1
Tb1 0.666 0.334 0.500 1
Fe1 0.333 0.667 0.500 1
Cl1 0.018 0.634 0.299 1
Cl2 0.019 0.383 0.700 1
Cl3 0.366 0.982 0.701 1
Cl4 0.368 0.386 0.297 1
Cl5 0.614 0.632 0.703 1
Cl6 0.617 0.981 0.300 1

---

# Rb2FeTcCl6 | Alexandria | PBE | optimized geometry
# - ΔE_f (raw): -1.02 eV per atom
# - Calculated volume: 243.4 Å³/cell
# - Energy: -0.309 Ry/atom
# - M_tot: 5.158 μB per cell
data_Rb2FeTcCl6
_chemical_formula_sum 'Rb2 Fe1 Tc1 Cl6'
_cell_length_a 7.007
_cell_length_b 7.007
_cell_length_c 7.007
_cell_angle_alpha 119.96
_cell_angle_beta 119.96
_cell_angle_gamma 90.08
_symmetry_space_group_name_H-M 'P 1'
_symmetry_Int_Tables_number 1
loop_
_symmetry_equiv_pos_as_xyz
'x,y,z'
loop_
_atom_site_label
_atom_site_fract_x
_atom_site_fract_y
_atom_site_fract_z
_atom_site_occupancy
Rb1 0.250 0.750 0.500 1
Rb2 0.750 0.250 0.500 1
Fe1 0.000 0.000 0.000 1
Tc1 0.500 0.500 0.000 1
Cl1 0.252 0.252 0.000 1
Cl2 0.252 0.252 0.504 1
Cl3 0.252 0.748 0.000 1
Cl4 0.748 0.252 0.000 1
Cl5 0.748 0.748 0.000 1
Cl6 0.748 0.748 0.496 1

---

Q: Which formula does entry 3 have?
A: Rb2FeTcCl6

---

Q: Which of these has the highest M_tot?
A: RbTbFe2Cl8